BaSrIn2: optimized geometry, GGA-PBE.

abc: 9.320 9.320 7.619
angles: 90.00 90.00 90.00
Element x y z (fractional)
Ba1 0.000 0.000 0.000
Ba2 0.000 0.500 0.250
Ba3 0.500 0.000 0.750
Ba4 0.500 0.500 0.500
Sr1 0.000 0.000 0.500
Sr2 0.000 0.500 0.750
Sr3 0.500 0.000 0.250
Sr4 0.500 0.500 0.000
In1 0.235 0.750 0.625
In2 0.250 0.235 0.375
In3 0.250 0.265 0.875
In4 0.265 0.750 0.125
In5 0.735 0.250 0.125
In6 0.750 0.735 0.875
In7 0.750 0.765 0.375
In8 0.765 0.250 0.625

- D(E_F) (states/eV/atom) = 1.321
- theoretical density (g/cm3) = 4.56
- total DFT energy (no corrections) (eV/atom) = -2.32
- V (A^3/atom) = 41.36

AcZn2InRh: optimized geometry, GGA-PBE.

abc: 4.264 4.302 12.034
angles: 90.00 90.00 90.00
Element x y z (fractional)
Ac1 0.000 0.000 0.000
Ac2 0.500 0.500 0.500
Zn1 0.000 0.000 0.614
Zn2 0.000 0.500 0.265
Zn3 0.500 0.000 0.765
Zn4 0.500 0.500 0.114
In1 0.000 0.500 0.759
In2 0.500 0.000 0.259
Rh1 0.000 0.000 0.402
Rh2 0.500 0.500 0.902

- D(E_F) (states/eV/atom) = 0.505
- theoretical density (g/cm3) = 8.66
- total DFT energy (no corrections) (eV/atom) = -3.79
- V (A^3/atom) = 22.08

HgMo3Cl: optimized geometry, GGA-PBE.

abc: 4.445 4.445 4.445
angles: 90.00 90.00 90.00
Element x y z (fractional)
Hg1 0.000 0.000 0.000
Mo1 0.000 0.500 0.500
Mo2 0.500 0.000 0.500
Mo3 0.500 0.500 0.000
Cl1 0.500 0.500 0.500

- D(E_F) (states/eV/atom) = 0.783
- formation energy from raw total energies (eV/atom) = 0.998
- energy relative to the lowest polymorph listed for this composition (meV/atom) = 0
- theoretical density (g/cm3) = 9.90
- total DFT energy (no corrections) (eV/atom) = -5.93
- V (A^3/atom) = 17.57

Na2PaBiS4: optimized geometry, GGA-PBE.

abc: 7.110 3.987 7.571
angles: 90.00 105.33 90.00
Element x y z (fractional)
Na1 0.000 0.000 0.000
Na2 0.500 0.500 0.500
Pa1 0.000 0.000 0.500
Bi1 0.500 0.500 0.000
S1 0.096 0.500 0.302
S2 0.354 0.000 0.730
S3 0.646 0.000 0.270
S4 0.904 0.500 0.698

- D(E_F) (states/eV/atom) = 0.385
- formation energy from raw total energies (eV/atom) = -1.082
- theoretical density (g/cm3) = 4.93
- total DFT energy (no corrections) (eV/atom) = -5.15
- V (A^3/atom) = 25.87

Mg2MnCr: optimized geometry, GGA-PBE.

abc: 4.574 4.574 6.488
angles: 90.00 90.00 90.00
Element x y z (fractional)
Mg1 0.000 0.000 0.000
Mg2 0.000 0.500 0.250
Mg3 0.500 0.000 0.750
Mg4 0.500 0.500 0.500
Mn1 0.000 0.500 0.750
Mn2 0.500 0.000 0.250
Cr1 0.000 0.000 0.500
Cr2 0.500 0.500 0.000

- D(E_F) (states/eV/atom) = 0.952
- energy relative to the lowest polymorph listed for this composition (meV/atom) = 121
- theoretical density (g/cm3) = 3.80
- total DFT energy (no corrections) (eV/atom) = -5.21
- V (A^3/atom) = 16.97

ReSb2TeN: optimized geometry, GGA-PBE.

abc: 4.583 4.583 4.538
angles: 90.00 90.00 90.00
Element x y z (fractional)
Re1 0.000 0.000 0.000
Sb1 0.000 0.500 0.500
Sb2 0.500 0.000 0.500
Te1 0.500 0.500 0.000
N1 0.500 0.500 0.500

- D(E_F) (states/eV/atom) = 0.838
- formation energy from raw total energies (eV/atom) = 1.152
- energy relative to the lowest polymorph listed for this composition (meV/atom) = 0
- theoretical density (g/cm3) = 9.96
- total DFT energy (no corrections) (eV/atom) = -5.28
- V (A^3/atom) = 19.06

TmSc6Sn2: optimized geometry, GGA-PBE.

abc: 7.227 7.227 11.148
angles: 90.00 90.00 90.00
Element x y z (fractional)
Tm1 0.000 0.000 0.000
Tm2 0.500 0.500 0.500
Sc1 0.156 0.156 0.500
Sc2 0.248 0.248 0.142
Sc3 0.248 0.248 0.858
Sc4 0.252 0.748 0.358
Sc5 0.252 0.748 0.642
Sc6 0.344 0.656 0.000
Sc7 0.656 0.344 0.000
Sc8 0.748 0.252 0.358
Sc9 0.748 0.252 0.642
Sc10 0.752 0.752 0.142
Sc11 0.752 0.752 0.858
Sc12 0.844 0.844 0.500
Sn1 0.000 0.000 0.268
Sn2 0.000 0.000 0.732
Sn3 0.500 0.500 0.232
Sn4 0.500 0.500 0.768

- D(E_F) (states/eV/atom) = 1.679
- theoretical density (g/cm3) = 3.86
- total DFT energy (no corrections) (eV/atom) = -5.27
- V (A^3/atom) = 32.35

HgIr2Pb2: optimized geometry, GGA-PBE.

abc: 4.673 4.673 11.036
angles: 90.00 90.00 90.00
Element x y z (fractional)
Hg1 0.000 0.000 0.000
Hg2 0.500 0.500 0.500
Ir1 0.000 0.000 0.389
Ir2 0.000 0.000 0.611
Ir3 0.500 0.500 0.111
Ir4 0.500 0.500 0.889
Pb1 0.000 0.500 0.250
Pb2 0.000 0.500 0.750
Pb3 0.500 0.000 0.250
Pb4 0.500 0.000 0.750

- D(E_F) (states/eV/atom) = 0.706
- energy relative to the lowest polymorph listed for this composition (meV/atom) = 153
- theoretical density (g/cm3) = 13.77
- total DFT energy (no corrections) (eV/atom) = -4.56
- V (A^3/atom) = 24.10

The highest D(E_F) belongs to which entry?
TmSc6Sn2